# KTbMnF6

A relaxed KTbMnF6 crystal (PBE+U, Alexandria via LeMat-Bulk).

Summary:
Calculated density: 3.68 g/cm3
Electronic total energy: -6.0557 eV/atom

Cell: 5.923 5.923 10.897 Å, 90.00 90.00 120.00°
Fractional positions:
F 0.629 0.007 0.854
F 0.993 0.371 0.646
F 0.623 0.993 0.354
F 0.629 0.623 0.646
F 0.377 0.371 0.854
F 0.623 0.629 0.146
F 0.993 0.623 0.854
F 0.007 0.377 0.146
F 0.371 0.993 0.146
F 0.377 0.007 0.646
F 0.371 0.377 0.354
F 0.007 0.629 0.354
Mn 0.667 0.333 0.750
Mn 0.333 0.667 0.250
K 0.000 0.000 0.000
K 0.000 0.000 0.500
Tb 0.333 0.667 0.750
Tb 0.667 0.333 0.250